# CaDy4TmTe8, relaxed, DFT PBE
# DFT total energy (eV/atom): -4.881
# Energy relative to the elements, uncorrected (eV per atom): -1.308
# V (Å³ per cell): 528.6
# Total moment (μB/f.u.): 0.00
data_CaDy4TmTe8
_cell_length_a 9.081
_cell_length_b 9.081
_cell_length_c 9.070
_cell_angle_alpha 59.96
_cell_angle_beta 59.96
_cell_angle_gamma 60.00
_space_group_name_H-M_alt 'P 1'
_space_group_IT_number 1
_space_group_name_Hall 'P 1'
loop_
_atom_site_label
_atom_site_type_symbol
_atom_site_fract_x
_atom_site_fract_y
_atom_site_fract_z
Dy1 Dy 0.002 0.002 0.502
Dy2 Dy 0.002 0.494 0.502
Dy3 Dy 0.494 0.002 0.502
Dy4 Dy 0.625 0.625 0.126
Te1 Te 0.760 0.760 0.255
Te2 Te 0.240 0.240 0.279
Te3 Te 0.239 0.239 0.743
Te4 Te 0.239 0.780 0.743
Te5 Te 0.225 0.760 0.255
Te6 Te 0.760 0.225 0.255
Te7 Te 0.758 0.758 0.727
Te8 Te 0.780 0.239 0.743
Tm1 Tm 0.002 0.002 0.993
Ca1 Ca 0.375 0.375 0.874



# CaDy2Tm3Te6, relaxed, DFT PBE
# DFT total energy (eV/atom): -4.907
# Energy relative to the elements, uncorrected (eV per atom): -1.285
# V (Å³ per cell): 349.1
# Total moment (μB/f.u.): 0.00
data_CaDy2Tm3Te6
_cell_length_a 4.346
_cell_length_b 8.710
_cell_length_c 9.737
_cell_angle_alpha 103.28
_cell_angle_beta 102.89
_cell_angle_gamma 90.00
_space_group_name_H-M_alt 'P 1'
_space_group_IT_number 1
_space_group_name_Hall 'P 1'
loop_
_atom_site_label
_atom_site_type_symbol
_atom_site_fract_x
_atom_site_fract_y
_atom_site_fract_z
Te1 Te 0.669 0.080 0.337
Te2 Te 0.331 0.920 0.663
Te3 Te 0.337 0.415 0.674
Te4 Te 0.999 0.745 0.998
Te5 Te 0.663 0.585 0.326
Te6 Te 0.001 0.255 0.002
Dy1 Dy 0.828 0.656 0.655
Dy2 Dy 0.172 0.344 0.345
Tm1 Tm 0.500 0.500 0.000
Tm2 Tm 0.833 0.175 0.667
Tm3 Tm 0.167 0.825 0.333
Ca1 Ca 0.500 0.000 0.000



# CaDy2TmTe4, relaxed, DFT PBE
# DFT total energy (eV/atom): -4.863
# Energy relative to the elements, uncorrected (eV per atom): -1.333
# V (Å³ per cell): 235.9
# Total moment (μB/f.u.): 0.00
data_CaDy2TmTe4
_cell_length_a 4.347
_cell_length_b 7.558
_cell_length_c 7.598
_cell_angle_alpha 109.09
_cell_angle_beta 90.00
_cell_angle_gamma 90.00
_space_group_name_H-M_alt 'P 1'
_space_group_IT_number 1
_space_group_name_Hall 'P 1'
loop_
_atom_site_label
_atom_site_type_symbol
_atom_site_fract_x
_atom_site_fract_y
_atom_site_fract_z
Te1 Te 0.000 0.746 0.247
Te2 Te 0.500 0.746 0.750
Te3 Te 0.500 0.254 0.250
Te4 Te 0.000 0.254 0.753
Tm1 Tm 0.500 0.500 0.000
Ca1 Ca 0.000 0.000 0.000
Dy1 Dy 0.500 0.000 0.500
Dy2 Dy 0.000 0.500 0.500



# Ca3Dy3TmTe8, relaxed, DFT PBE
# DFT total energy (eV/atom): -4.771
# Energy relative to the elements, uncorrected (eV per atom): -1.477
# V (Å³ per cell): 485.5
# Total moment (μB/f.u.): 0.00
data_Ca3Dy3TmTe8
_cell_length_a 8.741
_cell_length_b 8.742
_cell_length_c 8.905
_cell_angle_alpha 119.40
_cell_angle_beta 90.00
_cell_angle_gamma 119.99
_space_group_name_H-M_alt 'P 1'
_space_group_IT_number 1
_space_group_name_Hall 'P 1'
loop_
_atom_site_label
_atom_site_type_symbol
_atom_site_fract_x
_atom_site_fract_y
_atom_site_fract_z
Te1 Te 0.747 0.995 0.742
Te2 Te 0.752 0.504 0.257
Te3 Te 0.248 0.995 0.742
Te4 Te 0.252 0.503 0.255
Te5 Te 0.253 0.005 0.258
Te6 Te 0.748 0.497 0.745
Te7 Te 0.248 0.496 0.743
Te8 Te 0.752 0.005 0.258
Ca1 Ca 0.000 0.000 0.000
Ca2 Ca 0.500 0.500 0.000
Ca3 Ca 0.000 0.500 0.000
Dy1 Dy 0.000 0.500 0.500
Dy2 Dy 0.500 0.000 0.500
Dy3 Dy 0.500 0.500 0.500
Tm1 Tm 0.000 0.000 0.500



# Ca3Dy2YTe6, relaxed, DFT PBE
# DFT total energy (eV/atom): -4.835
# Energy relative to the elements, uncorrected (eV per atom): -1.459
# V (Å³ per cell): 367.6
# Total moment (μB/f.u.): 0.00
data_Ca3Dy2YTe6
_cell_length_a 7.605
_cell_length_b 7.605
_cell_length_c 7.762
_cell_angle_alpha 99.42
_cell_angle_beta 99.42
_cell_angle_gamma 119.94
_space_group_name_H-M_alt 'P 1'
_space_group_IT_number 1
_space_group_name_Hall 'P 1'
loop_
_atom_site_label
_atom_site_type_symbol
_atom_site_fract_x
_atom_site_fract_y
_atom_site_fract_z
Y1 Y 0.000 0.000 0.000
Te1 Te 0.082 0.416 0.245
Te2 Te 0.748 0.748 0.245
Te3 Te 0.416 0.082 0.245
Te4 Te 0.918 0.584 0.755
Te5 Te 0.252 0.252 0.755
Te6 Te 0.584 0.918 0.755
Ca1 Ca 0.166 0.834 0.500
Ca2 Ca 0.834 0.166 0.500
Ca3 Ca 0.500 0.500 0.500
Dy1 Dy 0.667 0.333 0.000
Dy2 Dy 0.333 0.667 0.000



# Ca3DyY3Te8, relaxed, DFT PBE
# DFT total energy (eV/atom): -5.172
# Energy relative to the elements, uncorrected (eV per atom): -1.497
# V (Å³ per cell): 488.3
# Total moment (μB/f.u.): 0.00
data_Ca3DyY3Te8
_cell_length_a 8.764
_cell_length_b 8.765
_cell_length_c 8.915
_cell_angle_alpha 119.45
_cell_angle_beta 90.00
_cell_angle_gamma 120.00
_space_group_name_H-M_alt 'P 1'
_space_group_IT_number 1
_space_group_name_Hall 'P 1'
loop_
_atom_site_label
_atom_site_type_symbol
_atom_site_fract_x
_atom_site_fract_y
_atom_site_fract_z
Ca1 Ca 0.000 0.500 0.000
Ca2 Ca 0.000 0.000 0.000
Ca3 Ca 0.500 0.500 0.000
Te1 Te 0.745 0.995 0.745
Te2 Te 0.750 0.500 0.255
Te3 Te 0.255 0.005 0.255
Te4 Te 0.749 0.497 0.745
Te5 Te 0.250 0.500 0.745
Te6 Te 0.750 0.005 0.255
Te7 Te 0.250 0.995 0.745
Te8 Te 0.251 0.503 0.255
Y1 Y 0.500 0.500 0.500
Y2 Y 0.000 0.500 0.500
Y3 Y 0.500 0.000 0.500
Dy1 Dy 0.000 0.000 0.500



# Ca4DyY3Te8, relaxed, DFT PBE
# DFT total energy (eV/atom): -5.037
# Energy relative to the elements, uncorrected (eV per atom): -1.466
# V (Å³ per cell): 490.5
# Total moment (μB/f.u.): 0.00
data_Ca4DyY3Te8
_cell_length_a 8.785
_cell_length_b 8.920
_cell_length_c 8.786
_cell_angle_alpha 119.50
_cell_angle_beta 120.00
_cell_angle_gamma 90.00
_space_group_name_H-M_alt 'P 1'
_space_group_IT_number 1
_space_group_name_Hall 'P 1'
loop_
_atom_site_label
_atom_site_type_symbol
_atom_site_fract_x
_atom_site_fract_y
_atom_site_fract_z
Te1 Te 0.749 0.745 0.997
Te2 Te 0.251 0.255 0.003
Te3 Te 0.749 0.746 0.497
Te4 Te 0.248 0.745 0.997
Te5 Te 0.752 0.255 0.503
Te6 Te 0.251 0.254 0.503
Te7 Te 0.248 0.745 0.497
Te8 Te 0.752 0.255 0.003
Ca1 Ca 0.500 0.000 0.500
Ca2 Ca 0.000 0.000 0.500
Ca3 Ca 0.500 0.000 0.000
Ca4 Ca 0.000 0.000 0.000
Dy1 Dy 0.000 0.500 0.000
Y1 Y 0.500 0.500 0.000
Y2 Y 0.000 0.500 0.500
Y3 Y 0.500 0.500 0.500



# CaDy4YTe8, relaxed, DFT PBE
# DFT total energy (eV/atom): -5.036
# Energy relative to the elements, uncorrected (eV per atom): -1.321
# V (Å³ per cell): 532.1
# Total moment (μB/f.u.): 0.00
data_CaDy4YTe8
_cell_length_a 9.095
_cell_length_b 9.095
_cell_length_c 9.097
_cell_angle_alpha 60.01
_cell_angle_beta 60.01
_cell_angle_gamma 60.00
_space_group_name_H-M_alt 'P 1'
_space_group_IT_number 1
_space_group_name_Hall 'P 1'
loop_
_atom_site_label
_atom_site_type_symbol
_atom_site_fract_x
_atom_site_fract_y
_atom_site_fract_z
Te1 Te 0.758 0.758 0.258
Te2 Te 0.241 0.779 0.740
Te3 Te 0.779 0.241 0.740
Te4 Te 0.241 0.241 0.740
Te5 Te 0.240 0.240 0.279
Te6 Te 0.758 0.758 0.726
Te7 Te 0.226 0.758 0.258
Te8 Te 0.758 0.226 0.258
Dy1 Dy 0.002 0.494 0.502
Dy2 Dy 0.625 0.625 0.125
Dy3 Dy 0.494 0.002 0.502
Dy4 Dy 0.002 0.002 0.502
Ca1 Ca 0.375 0.375 0.876
Y1 Y 0.002 0.002 0.993



# Ca3DyY2Te6, relaxed, DFT PBE
# DFT total energy (eV/atom): -4.997
# Energy relative to the elements, uncorrected (eV per atom): -1.464
# V (Å³ per cell): 368.1
# Total moment (μB/f.u.): 0.00
data_Ca3DyY2Te6
_cell_length_a 7.609
_cell_length_b 7.609
_cell_length_c 7.765
_cell_angle_alpha 99.42
_cell_angle_beta 99.42
_cell_angle_gamma 119.94
_space_group_name_H-M_alt 'P 1'
_space_group_IT_number 1
_space_group_name_Hall 'P 1'
loop_
_atom_site_label
_atom_site_type_symbol
_atom_site_fract_x
_atom_site_fract_y
_atom_site_fract_z
Te1 Te 0.251 0.251 0.754
Te2 Te 0.918 0.586 0.755
Te3 Te 0.586 0.918 0.755
Te4 Te 0.414 0.082 0.245
Te5 Te 0.749 0.749 0.246
Te6 Te 0.082 0.414 0.245
Y1 Y 0.666 0.334 0.000
Y2 Y 0.334 0.666 0.000
Ca1 Ca 0.833 0.167 0.500
Ca2 Ca 0.167 0.833 0.500
Ca3 Ca 0.500 0.500 0.500
Dy1 Dy 0.000 0.000 0.000



# CaDy2YTe4, relaxed, DFT PBE
# DFT total energy (eV/atom): -5.149
# Energy relative to the elements, uncorrected (eV per atom): -1.370
# V (Å³ per cell): 238.8
# Total moment (μB/f.u.): 0.00
data_CaDy2YTe4
_cell_length_a 4.364
_cell_length_b 7.603
_cell_length_c 7.616
_cell_angle_alpha 70.92
_cell_angle_beta 90.00
_cell_angle_gamma 90.00
_space_group_name_H-M_alt 'P 1'
_space_group_IT_number 1
_space_group_name_Hall 'P 1'
loop_
_atom_site_label
_atom_site_type_symbol
_atom_site_fract_x
_atom_site_fract_y
_atom_site_fract_z
Te1 Te 0.500 0.247 0.752
Te2 Te 0.000 0.751 0.750
Te3 Te 0.000 0.249 0.250
Te4 Te 0.500 0.753 0.248
Dy1 Dy 0.500 0.000 0.500
Dy2 Dy 0.000 0.000 0.000
Y1 Y 0.500 0.500 0.000
Ca1 Ca 0.000 0.500 0.500



# CaDyY2Te4, relaxed, DFT PBE
# DFT total energy (eV/atom): -5.391
# Energy relative to the elements, uncorrected (eV per atom): -1.378
# V (Å³ per cell): 239.3
# Total moment (μB/f.u.): 0.00
data_CaDyY2Te4
_cell_length_a 4.366
_cell_length_b 7.612
_cell_length_c 7.618
_cell_angle_alpha 109.08
_cell_angle_beta 90.00
_cell_angle_gamma 90.00
_space_group_name_H-M_alt 'P 1'
_space_group_IT_number 1
_space_group_name_Hall 'P 1'
loop_
_atom_site_label
_atom_site_type_symbol
_atom_site_fract_x
_atom_site_fract_y
_atom_site_fract_z
Dy1 Dy 0.500 0.500 0.000
Y1 Y 0.500 0.000 0.500
Y2 Y 0.000 0.500 0.500
Te1 Te 0.500 0.748 0.749
Te2 Te 0.000 0.749 0.250
Te3 Te 0.000 0.251 0.750
Te4 Te 0.500 0.252 0.251
Ca1 Ca 0.000 0.000 0.000